No. 1
Compound: MgGaNi2
Source: Alexandria
Functional: GGA-PBE
Structure: relaxed

Calculated values
**Electronic total energy**: -4.01 eV/atom
**V**: 236.0 Å³ per cell
**Calculated density**: 5.9 g cm⁻³

Unit cell a=6.654 b=6.654 c=5.332 alpha=90.00 beta=90.00 gamma=90.00
Sites, in units of the cell vectors:
Mg  0.000  0.000  0.000
Mg  0.000  0.500  0.250
Mg  0.500  0.000  0.750
Mg  0.500  0.500  0.500
Ga  0.000  0.000  0.500
Ga  0.000  0.500  0.750
Ga  0.500  0.000  0.250
Ga  0.500  0.500  0.000
Ni  0.223  0.250  0.625
Ni  0.250  0.723  0.875
Ni  0.250  0.777  0.375
Ni  0.277  0.250  0.125
Ni  0.723  0.750  0.125
Ni  0.750  0.223  0.375
Ni  0.750  0.277  0.875
Ni  0.777  0.750  0.625


No. 2
Compound: Mg2Ga2Ni15
Source: Alexandria
Functional: GGA-PBE
Structure: relaxed

Calculated values
**Electronic total energy**: -5.13 eV/atom
**V**: 236.3 Å³ per cell
**Calculated density**: 7.5 g cm⁻³

Unit cell a=6.239 b=6.239 c=6.239 alpha=81.97 beta=81.97 gamma=81.97
Sites, in units of the cell vectors:
Mg  0.144  0.144  0.144
Mg  0.856  0.856  0.856
Ga  0.394  0.394  0.394
Ga  0.606  0.606  0.606
Ni  0.000  0.500  0.500
Ni  0.153  0.153  0.655
Ni  0.153  0.655  0.153
Ni  0.195  0.500  0.805
Ni  0.195  0.805  0.500
Ni  0.345  0.847  0.847
Ni  0.500  0.000  0.500
Ni  0.500  0.195  0.805
Ni  0.500  0.500  0.000
Ni  0.500  0.805  0.195
Ni  0.655  0.153  0.153
Ni  0.805  0.195  0.500
Ni  0.805  0.500  0.195
Ni  0.847  0.345  0.847
Ni  0.847  0.847  0.345


No. 3
Compound: Mg3Ga3Ni2
Source: Alexandria
Functional: GGA-PBE
Structure: relaxed

Calculated values
**V**: 539.5 Å³ per cell
**Calculated density**: 4.9 g cm⁻³
**Relative energy among the computed polymorphs**: 0.0000 eV/atom

Unit cell a=7.106 b=14.473 c=5.246 alpha=90.00 beta=90.00 gamma=90.00
Sites, in units of the cell vectors:
Mg  0.031  0.115  0.101
Mg  0.031  0.385  0.101
Mg  0.179  0.250  0.633
Mg  0.321  0.750  0.133
Mg  0.469  0.615  0.601
Mg  0.469  0.885  0.601
Mg  0.531  0.115  0.399
Mg  0.531  0.385  0.399
Mg  0.679  0.250  0.867
Mg  0.821  0.750  0.367
Mg  0.969  0.615  0.899
Mg  0.969  0.885  0.899
Ga  0.166  0.750  0.631
Ga  0.180  0.035  0.604
Ga  0.180  0.465  0.604
Ga  0.320  0.535  0.104
Ga  0.320  0.965  0.104
Ga  0.334  0.250  0.131
Ga  0.666  0.750  0.869
Ga  0.680  0.035  0.896
Ga  0.680  0.465  0.896
Ga  0.820  0.535  0.396
Ga  0.820  0.965  0.396
Ga  0.834  0.250  0.369
Ni  0.118  0.612  0.394
Ni  0.118  0.888  0.394
Ni  0.382  0.112  0.894
Ni  0.382  0.388  0.894
Ni  0.618  0.612  0.106
Ni  0.618  0.888  0.106
Ni  0.882  0.112  0.606
Ni  0.882  0.388  0.606


No. 4
Compound: Mg5GaNi6
Source: Alexandria
Functional: GGA-PBE
Structure: relaxed

Calculated values
**Electronic total energy**: -4.02 eV/atom
**V**: 165.2 Å³ per cell
**Calculated density**: 5.5 g cm⁻³

Unit cell a=4.283 b=6.031 c=7.353 alpha=114.10 beta=106.01 gamma=90.10
Sites, in units of the cell vectors:
Mg  0.000  0.000  0.000
Mg  0.323  0.325  0.651
Mg  0.335  0.836  0.672
Mg  0.665  0.164  0.328
Mg  0.677  0.675  0.349
Ga  0.000  0.500  0.000
Ni  0.162  0.422  0.320
Ni  0.162  0.897  0.320
Ni  0.500  0.273  0.000
Ni  0.500  0.727  0.000
Ni  0.838  0.103  0.680
Ni  0.838  0.578  0.680


No. 5
Compound: Mg6GaNi2
Source: Alexandria
Functional: GGA-PBE
Structure: relaxed

Calculated values
**Electronic total energy**: -2.84 eV/atom
**V**: 335.6 Å³ per cell
**Calculated density**: 3.3 g cm⁻³

Unit cell a=7.620 b=7.620 c=7.620 alpha=116.45 beta=109.79 gamma=102.47
Sites, in units of the cell vectors:
Mg  0.021  0.837  0.184
Mg  0.252  0.554  0.302
Mg  0.252  0.951  0.698
Mg  0.287  0.313  0.601
Mg  0.287  0.687  0.974
Mg  0.346  0.163  0.184
Mg  0.654  0.837  0.816
Mg  0.713  0.313  0.026
Mg  0.713  0.687  0.399
Mg  0.748  0.049  0.302
Mg  0.748  0.446  0.698
Mg  0.979  0.163  0.816
Ga  0.000  0.500  0.500
Ga  0.500  0.000  0.500
Ni  0.000  0.192  0.192
Ni  0.000  0.808  0.808
Ni  0.377  0.377  0.000
Ni  0.623  0.623  0.000


No. 6
Compound: Mg4GaNi
Source: Alexandria
Functional: GGA-PBE
Structure: relaxed

Calculated values
**V**: 229.1 Å³ per cell
**Calculated density**: 3.3 g cm⁻³
**Relative energy among the computed polymorphs**: 0.0113 eV/atom

Unit cell a=7.112 b=7.112 c=7.112 alpha=125.66 beta=125.66 gamma=80.44
Sites, in units of the cell vectors:
Mg  0.032  0.532  0.840
Mg  0.192  0.032  0.500
Mg  0.308  0.808  0.840
Mg  0.468  0.308  0.500
Mg  0.532  0.692  0.500
Mg  0.692  0.192  0.160
Mg  0.808  0.968  0.500
Mg  0.968  0.468  0.160
Ga  0.000  0.000  0.000
Ga  0.500  0.500  0.000
Ni  0.250  0.250  0.000
Ni  0.750  0.750  0.000


No. 7
Compound: Mg2Ga4Ni5
Source: Alexandria
Functional: GGA-PBE
Structure: relaxed

Calculated values
**Electronic total energy**: -4.29 eV/atom
**V**: 168.2 Å³ per cell
**Calculated density**: 6.1 g cm⁻³

Unit cell a=8.707 b=7.982 c=5.033 alpha=80.51 beta=64.72 gamma=34.76
Sites, in units of the cell vectors:
Mg  0.101  0.101  0.899
Mg  0.899  0.899  0.101
Ga  0.209  0.532  0.468
Ga  0.468  0.791  0.209
Ga  0.532  0.209  0.791
Ga  0.791  0.468  0.532
Ni  0.000  0.000  0.500
Ni  0.250  0.250  0.250
Ni  0.500  0.500  0.000
Ni  0.500  0.500  0.500
Ni  0.750  0.750  0.750


No. 8
Compound: MgGa2Ni5
Source: Alexandria
Functional: GGA-PBE
Structure: relaxed

Calculated values
**V**: 203.3 Å³ per cell
**Calculated density**: 7.5 g cm⁻³
**Relative energy among the computed polymorphs**: 0.0434 eV/atom

Unit cell a=2.734 b=7.393 c=10.055 alpha=90.00 beta=90.00 gamma=90.00
Sites, in units of the cell vectors:
Mg  0.000  0.000  0.000
Mg  0.500  0.500  0.500
Ga  0.000  0.500  0.244
Ga  0.000  0.500  0.756
Ga  0.500  0.000  0.256
Ga  0.500  0.000  0.744
Ni  0.000  0.227  0.373
Ni  0.000  0.227  0.627
Ni  0.000  0.500  0.000
Ni  0.000  0.773  0.373
Ni  0.000  0.773  0.627
Ni  0.500  0.000  0.500
Ni  0.500  0.273  0.127
Ni  0.500  0.273  0.873
Ni  0.500  0.727  0.127
Ni  0.500  0.727  0.873


No. 9
Compound: MgGaNi3
Source: Alexandria
Functional: GGA-PBE
Structure: relaxed

Calculated values
**V**: 157.1 Å³ per cell
**Calculated density**: 5.7 g cm⁻³
**Relative energy among the computed polymorphs**: 0.0000 eV/atom

Unit cell a=6.299 b=6.299 c=4.343 alpha=90.00 beta=90.00 gamma=114.28
Sites, in units of the cell vectors:
Mg  0.066  0.934  0.750
Mg  0.934  0.066  0.250
Ga  0.301  0.699  0.750
Ga  0.699  0.301  0.250
Ni  0.029  0.638  0.250
Ni  0.362  0.971  0.250
Ni  0.500  0.500  0.000
Ni  0.500  0.500  0.500
Ni  0.638  0.029  0.750
Ni  0.971  0.362  0.750


No. 10
Compound: Mg4Ga4Ni
Source: Alexandria
Functional: GGA-PBE
Structure: relaxed

Calculated values
**Electronic total energy**: -2.78 eV/atom
**V**: 177.0 Å³ per cell
**Calculated density**: 4.1 g cm⁻³

Unit cell a=6.938 b=6.938 c=6.938 alpha=132.70 beta=132.70 gamma=69.13
Sites, in units of the cell vectors:
Mg  0.206  0.206  0.596
Mg  0.390  0.794  0.000
Mg  0.610  0.610  0.404
Mg  0.794  0.390  0.000
Ga  0.031  0.635  0.000
Ga  0.365  0.365  0.395
Ga  0.635  0.031  0.000
Ga  0.969  0.969  0.605
Ni  0.000  0.000  0.000